# ThSi2Rh4

A geometry-optimized ThSi2Rh4 structure (PBE, the Alexandria database).

Unit cell a=4.0811 b=6.5504 c=17.0165 alpha=90.00 beta=90.00 gamma=90.00
Closest atoms and distances in Å follow each position.
Positions (direct):
1 Rh 0.2500 0.2412 0.2063  3 Si 2.42-2.43
2 Rh 0.7500 0.8664 0.4704  3 Si 2.48-2.63
3 Rh 0.2500 0.1336 0.5296  3 Si 2.48-2.63
4 Rh 0.2500 0.2588 0.7063  3 Si 2.42-2.43
5 Rh 0.2500 0.3664 0.0296  3 Si 2.48-2.63
6 Rh 0.7500 0.3247 0.3204  4 Si 2.49-2.66, 1 Rh 2.77
7 Rh 0.2500 0.6753 0.6796  4 Si 2.49-2.66, 1 Rh 2.77
8 Rh 0.7500 0.6337 0.9704  3 Si 2.48-2.63
9 Rh 0.2500 0.4851 0.4308  4 Si 2.41-2.56
10 Rh 0.7500 0.7588 0.7937  3 Si 2.42-2.43
11 Rh 0.7500 0.9851 0.0692  4 Si 2.41-2.56
12 Rh 0.2500 0.8247 0.1796  4 Si 2.49-2.66, 1 Rh 2.77
13 Rh 0.7500 0.7412 0.2937  3 Si 2.42-2.43
14 Rh 0.7500 0.5149 0.5692  4 Si 2.41-2.56
15 Rh 0.7500 0.1753 0.8204  4 Si 2.49-2.66, 1 Rh 2.77
16 Rh 0.2500 0.0149 0.9308  4 Si 2.41-2.56
17 Si 0.2500 0.9612 0.7907  7 Rh 2.41-2.66
18 Si 0.2500 0.7324 0.5352  7 Rh 2.41-2.63
19 Si 0.7500 0.4612 0.7093  7 Rh 2.41-2.66
20 Si 0.7500 0.2676 0.4648  7 Rh 2.41-2.63
21 Si 0.2500 0.7676 0.0352  7 Rh 2.41-2.63
22 Si 0.7500 0.0388 0.2093  7 Rh 2.41-2.66
23 Si 0.7500 0.2324 0.9648  7 Rh 2.41-2.63
24 Si 0.2500 0.5388 0.2907  7 Rh 2.41-2.66
25 Th 0.7500 0.5056 0.1393  8 Rh 2.91-3.05, 2 Si 3.20
26 Th 0.7500 0.9944 0.6393  8 Rh 2.91-3.05, 2 Si 3.20
27 Th 0.2500 0.0056 0.3607  8 Rh 2.91-3.05, 2 Si 3.20
28 Th 0.2500 0.4944 0.8607  8 Rh 2.91-3.05, 2 Si 3.20

M_tot = 0.0 μB per cell
formation energy without anion corrections = -6.4 eV/f.u.
relative energy among the computed polymorphs = 0.000 eV/atom